Entry 1:
Compound: NdZn2GeAu
Source: the Alexandria database
Functional: GGA-PBE
Structure: optimized geometry

The structure in CIF format:
```
data_NdZn2GeAu
_symmetry_space_group_name_H-M 'P 1'
_symmetry_Int_Tables_number 1
_symmetry_space_group_name_Hall 'P 1'
_cell_length_a 6.245
_cell_length_b 6.245
_cell_length_c 6.245
_cell_angle_alpha 140.40
_cell_angle_beta 140.14
_cell_angle_gamma 57.45
loop_
_atom_site_label
_atom_site_type_symbol
_atom_site_fract_x
_atom_site_fract_y
_atom_site_fract_z
_atom_site_occupancy
Nd1 Nd 0.000 0.000 0.000 1
Zn1 Zn 0.381 0.381 0.000 1
Zn2 Zn 0.749 0.249 0.500 1
Ge1 Ge 0.604 0.604 0.000 1
Au1 Au 0.247 0.747 0.500 1
```

energy of formation from the pure elements	-0.520	eV per atom
final energy	-17.81	eV for the cell shown



Entry 2:
Compound: Li2IrRh
Source: the Alexandria database
Functional: GGA-PBE
Structure: optimized geometry

The structure in CIF format:
```
data_Li2IrRh
_symmetry_space_group_name_H-M 'P 1'
_symmetry_Int_Tables_number 1
_symmetry_space_group_name_Hall 'P 1'
_cell_length_a 4.897
_cell_length_b 4.897
_cell_length_c 4.897
_cell_angle_alpha 136.32
_cell_angle_beta 136.32
_cell_angle_gamma 63.48
loop_
_atom_site_label
_atom_site_type_symbol
_atom_site_fract_x
_atom_site_fract_y
_atom_site_fract_z
_atom_site_occupancy
Li1 Li 0.250 0.750 0.500 1
Li2 Li 0.750 0.250 0.500 1
Ir1 Ir 0.000 0.000 0.000 1
Rh1 Rh 0.500 0.500 0.000 1
```

energy of formation from the pure elements	0.000	eV per atom
final energy	-20.04	eV for the cell shown
distance to the lowest polymorph of the same formula	0.2165	eV per atom



Entry 3:
Compound: CsTi3W
Source: the Alexandria database
Functional: GGA-PBE
Structure: optimized geometry

The structure in CIF format:
```
data_CsTi3W
_symmetry_space_group_name_H-M 'P 1'
_symmetry_Int_Tables_number 1
_symmetry_space_group_name_Hall 'P 1'
_cell_length_a 5.044
_cell_length_b 5.044
_cell_length_c 5.044
_cell_angle_alpha 90.00
_cell_angle_beta 90.00
_cell_angle_gamma 90.00
loop_
_atom_site_label
_atom_site_type_symbol
_atom_site_fract_x
_atom_site_fract_y
_atom_site_fract_z
_atom_site_occupancy
Cs1 Cs 0.000 0.000 0.000 1
Ti1 Ti 0.000 0.500 0.500 1
Ti2 Ti 0.500 0.000 0.500 1
Ti3 Ti 0.500 0.500 0.000 1
W1 W 0.500 0.500 0.500 1
```

energy of formation from the pure elements	1.170	eV per atom
final energy	-31.64	eV for the cell shown
distance to the lowest polymorph of the same formula	0.0000	eV per atom



> final energy of number 3 (CsTi3W)?

-31.64 eV for the cell shown



What did the first record say?
Compound: NdZn2GeAu
Source: the Alexandria database
Functional: GGA-PBE
Structure: optimized geometry

The structure in CIF format:
```
data_NdZn2GeAu
_symmetry_space_group_name_H-M 'P 1'
_symmetry_Int_Tables_number 1
_symmetry_space_group_name_Hall 'P 1'
_cell_length_a 6.245
_cell_length_b 6.245
_cell_length_c 6.245
_cell_angle_alpha 140.40
_cell_angle_beta 140.14
_cell_angle_gamma 57.45
loop_
_atom_site_label
_atom_site_type_symbol
_atom_site_fract_x
_atom_site_fract_y
_atom_site_fract_z
_atom_site_occupancy
Nd1 Nd 0.000 0.000 0.000 1
Zn1 Zn 0.381 0.381 0.000 1
Zn2 Zn 0.749 0.249 0.500 1
Ge1 Ge 0.604 0.604 0.000 1
Au1 Au 0.247 0.747 0.500 1
```

energy of formation from the pure elements	-0.520	eV per atom
final energy	-17.81	eV for the cell shown